The following is a PBE calculation of NdMgTlSe3 after structural relaxation, from the Open Quantum Materials Database.

As for the final energy: -4.464 eV per atom. The calculation puts the magnetization at 0.00 μB/f.u. As for the space group: No. 63.

Lattice parameters (Å, degrees): 7.622 7.622 11.501 90.00 90.00 147.08
Fractional positions:
1 Mg 0.466 0.534 0.250
2 Mg 0.534 0.466 0.750
3 Nd 0.000 0.000 0.000
4 Nd 0.000 0.000 0.500
5 Se 0.370 0.630 0.065
6 Se 0.068 0.932 0.250
7 Se 0.370 0.630 0.435
8 Se 0.630 0.370 0.565
9 Se 0.932 0.068 0.750
10 Se 0.630 0.370 0.935
11 Tl 0.754 0.246 0.250
12 Tl 0.246 0.754 0.750


The following is a PBE calculation of Hf4Zr2Co3N3 after structural relaxation, from the Open Quantum Materials Database.

As for the final energy: -9.526 eV per atom. The calculation puts the magnetization at 0.01 μB/f.u. As for the space group: No. 15.

Lattice parameters (Å, degrees): 5.451 5.451 13.637 101.83 101.83 59.92
Fractional positions:
1 Co 0.415 0.100 0.250
2 Co 0.926 0.074 0.250
3 Co 0.900 0.585 0.250
4 Co 0.100 0.415 0.750
5 Co 0.074 0.926 0.750
6 Co 0.585 0.900 0.750
7 Hf 0.025 0.203 0.095
8 Hf 0.697 0.861 0.095
9 Hf 0.139 0.303 0.405
10 Hf 0.797 0.975 0.405
11 Hf 0.203 0.025 0.595
12 Hf 0.861 0.697 0.595
13 Hf 0.303 0.139 0.905
14 Hf 0.975 0.797 0.905
15 N 0.000 0.500 0.000
16 N 0.666 0.169 0.000
17 N 0.831 0.334 0.500
18 N 0.500 0.000 0.500
19 N 0.169 0.666 0.500
20 N 0.334 0.831 0.000
21 Zr 0.375 0.542 0.122
22 Zr 0.458 0.625 0.378
23 Zr 0.542 0.375 0.622
24 Zr 0.625 0.458 0.878


The following is a PBE calculation of TbPrCo2P4 after structural relaxation, from the Open Quantum Materials Database.

As for the final energy: -6.641 eV per atom. The calculation puts the magnetization at 0.43 μB/f.u. As for the space group: No. 99.

Lattice parameters (Å, degrees): 3.704 3.704 9.894 90.00 90.00 90.00
Each line ends with the local moment (μB).
Fractional positions:
1 Co 0.500 0.000 0.506  0.22
2 Co 0.000 0.500 0.506  0.22
3 P 0.500 0.500 0.380  0.00
4 P 0.000 0.000 0.632  0.00
5 P 0.500 0.000 0.990  0.00
6 P 0.000 0.500 0.990  0.00
7 Pr 0.000 0.000 0.230  0.00
8 Tb 0.500 0.500 0.765  0.00


The following is a PBE calculation of NbCuSn after structural relaxation, from the Open Quantum Materials Database.

As for the final energy: -5.384 eV per atom. The calculation puts the magnetization at 0.02 μB/f.u. As for the space group: No. 216.

Lattice parameters (Å, degrees): 4.496 4.496 4.496 60.00 60.00 60.00
Fractional positions:
1 Cu 0.250 0.250 0.250
2 Nb 0.000 0.000 0.000
3 Sn 0.750 0.750 0.750


The following is a PBE calculation of CoCuPbW after structural relaxation, from the Open Quantum Materials Database.

The value obtained for the relative energy among the computed polymorphs is 0 meV per atom. The calculation puts the magnetization at 1.63 μB/f.u. As for the space group: No. 216.

Lattice parameters (Å, degrees): 4.429 4.429 4.429 60.00 60.00 60.00
Fractional positions:
1 Co 0.750 0.750 0.750
2 Cu 0.250 0.250 0.250
3 Pb 0.000 0.000 0.000
4 W 0.500 0.500 0.500


The following is a PBE calculation of YErNi2Ge2 after structural relaxation, from the Open Quantum Materials Database.

As for the final energy: -6.007 eV per atom. The calculation puts the magnetization at 0.00 μB/f.u. As for the space group: No. 156.

Lattice parameters (Å, degrees): 4.229 4.229 7.064 90.00 90.00 120.00
Fractional positions:
1 Er 0.000 0.000 0.747
2 Ge 0.333 0.667 0.511
3 Ge 0.667 0.333 0.994
4 Ni 0.667 0.333 0.504
5 Ni 0.333 0.667 0.975
6 Y 0.000 0.000 0.248


The following is a PBE calculation of CsPdO3 after structural relaxation, from the Open Quantum Materials Database.

As for the final energy: -4.509 eV per atom. As for the space group: No. 99.

Lattice parameters (Å, degrees): 3.925 3.925 5.171 90.00 90.00 90.00
Fractional positions:
1 Cs 0.000 0.000 0.045
2 O 0.500 0.500 0.152
3 O 0.500 0.000 0.592
4 O 0.000 0.500 0.592
5 Pd 0.500 0.500 0.519


The following is a PBE calculation of ThB6As3 after structural relaxation, from the Open Quantum Materials Database.

As for the final energy: -4.630 eV per atom. The calculation puts the magnetization at 0.03 μB/f.u. As for the space group: No. 139.

Lattice parameters (Å, degrees): 6.531 6.531 6.531 117.68 117.68 94.07
Fractional positions:
1 As 0.500 0.500 0.000
2 As 0.750 0.250 0.500
3 As 0.250 0.750 0.500
4 B 0.290 0.290 0.000
5 B 0.710 0.710 0.000
6 B 0.384 0.000 0.384
7 B 0.000 0.384 0.384
8 B 0.616 0.000 0.616
9 B 0.000 0.616 0.616
10 Th 0.000 0.000 0.000


The following is a PBE calculation of SmGa2PdAu after structural relaxation, from the Open Quantum Materials Database.

The value obtained for the relative energy among the computed polymorphs is 0 meV per atom. The calculation puts the magnetization at 0.00 μB/f.u. As for the space group: No. 129.

Lattice parameters (Å, degrees): 4.338 4.338 10.523 90.00 90.00 90.00
Fractional positions:
1 Au 0.000 0.500 0.360
2 Au 0.500 0.000 0.640
3 Ga 0.000 0.500 0.121
4 Ga 0.000 0.000 0.500
5 Ga 0.500 0.500 0.500
6 Ga 0.500 0.000 0.879
7 Pd 0.000 0.000 0.000
8 Pd 0.500 0.500 0.000
9 Sm 0.500 0.000 0.248
10 Sm 0.000 0.500 0.752


The following is a PBE calculation of Cs2TePtSe2 after structural relaxation, from the Open Quantum Materials Database.

As for the final energy: -3.594 eV per atom. The calculation puts the magnetization at 0.00 μB/f.u. As for the space group: No. 12.

Lattice parameters (Å, degrees): 7.585 7.585 9.750 108.18 108.18 58.95
Fractional positions:
1 Cs 0.286 0.286 0.142
2 Cs 0.082 0.082 0.360
3 Cs 0.918 0.918 0.640
4 Cs 0.714 0.714 0.858
5 Pt 0.583 0.583 0.150
6 Pt 0.417 0.417 0.850
7 Se 0.759 0.241 0.000
8 Se 0.241 0.759 0.000
9 Se 0.780 0.780 0.254
10 Se 0.220 0.220 0.746
11 Te 0.585 0.585 0.430
12 Te 0.415 0.415 0.570


The following is a PBE calculation of ReAgPO after structural relaxation, from the Open Quantum Materials Database.

The value obtained for the relative energy among the computed polymorphs is 626 meV per atom. The calculation puts the magnetization at 0.37 μB/f.u. As for the space group: No. 129.

Lattice parameters (Å, degrees): 3.500 3.500 8.985 90.00 90.00 90.00
Fractional positions:
1 Ag 0.750 0.250 0.500
2 Ag 0.250 0.750 0.500
3 O 0.750 0.250 0.000
4 O 0.250 0.750 0.000
5 P 0.750 0.750 0.260
6 P 0.250 0.250 0.740
7 Re 0.250 0.250 0.140
8 Re 0.750 0.750 0.860


The following is a PBE calculation of Ta4B3Pb after structural relaxation, from the Open Quantum Materials Database.

As for the final energy: -9.329 eV per atom. The calculation puts the magnetization at 0.00 μB/f.u. As for the space group: No. 194.

Lattice parameters (Å, degrees): 3.300 3.300 24.700 90.00 90.00 120.00
Fractional positions:
1 B 0.000 0.000 0.000
2 B 0.667 0.333 0.107
3 B 0.667 0.333 0.393
4 B 0.000 0.000 0.500
5 B 0.333 0.667 0.607
6 B 0.333 0.667 0.893
7 Pb 0.333 0.667 0.250
8 Pb 0.667 0.333 0.750
9 Ta 0.333 0.667 0.052
10 Ta 0.000 0.000 0.154
11 Ta 0.000 0.000 0.346
12 Ta 0.333 0.667 0.448
13 Ta 0.667 0.333 0.552
14 Ta 0.000 0.000 0.654
15 Ta 0.000 0.000 0.846
16 Ta 0.667 0.333 0.948


Please write out number 9 again, unchanged.
The following is a PBE calculation of SmGa2PdAu after structural relaxation, from the Open Quantum Materials Database.

The value obtained for the relative energy among the computed polymorphs is 0 meV per atom. The calculation puts the magnetization at 0.00 μB/f.u. As for the space group: No. 129.

Lattice parameters (Å, degrees): 4.338 4.338 10.523 90.00 90.00 90.00
Fractional positions:
1 Au 0.000 0.500 0.360
2 Au 0.500 0.000 0.640
3 Ga 0.000 0.500 0.121
4 Ga 0.000 0.000 0.500
5 Ga 0.500 0.500 0.500
6 Ga 0.500 0.000 0.879
7 Pd 0.000 0.000 0.000
8 Pd 0.500 0.500 0.000
9 Sm 0.500 0.000 0.248
10 Sm 0.000 0.500 0.752